Entry 1:
Computed, not measured: a PBEsol-optimized structure of TaTlRh3 at the SCAN level of DFT.

Output
- density (g/cm3) = 10.8
- E (eV per formula unit) = -230.570

Structure (POSCAR):
```
TaTlRh3
1.0
-3.476 -3.103 -0.848
1.164 -0.049 -4.591
2.999 -3.577 0.798
Tl Rh Ta
1 3 1
Cartesian
0.000 0.000 0.000
0.582 -0.024 -2.295
1.500 -1.789 0.399
-1.738 -1.552 -0.424
0.344 -3.365 -2.320
```

=====

Entry 2:
Computed, not measured: a PBEsol-optimized structure of TePt8 at the SCAN level of DFT.

Output
- density (g/cm3) = 19.9
- E (eV per formula unit) = -598.259
- raw formation energy (kcal/mol of atoms) = 1.37

Structure (POSCAR):
```
TePt8
1.0
-0.855 -2.493 -2.937
-4.593 -3.841 1.946
-4.516 2.594 -3.538
Te Pt
1 8
Cartesian
0.000 0.000 0.000
-1.806 0.048 -2.166
-3.565 0.053 -4.309
-3.621 -2.075 -2.486
-1.832 -2.121 -0.317
-4.541 0.438 -1.700
-3.616 -4.212 -0.674
-6.343 -1.664 -2.043
-4.567 -1.685 0.108
```

=====

Entry 3:
Computed, not measured: a PBEsol-optimized structure of YZrHg at the SCAN level of DFT.

Output
- density (g/cm3) = 8.9
- E (eV per formula unit) = -127.712

Structure (POSCAR):
```
YZrHg
1.0
-1.486 -1.551 2.615
-1.194 -2.379 -2.089
6.481 -1.419 0.652
Hg Y Zr
1 1 1
Cartesian
3.724 -5.298 1.163
0.348 -3.076 0.563
3.531 -2.324 0.628
```

=====

Entry 4:
Computed, not measured: a PBEsol-optimized structure of GaSnBi2Cl at the SCAN level of DFT.

Output
- density (g/cm3) = 6.0
- E (eV per formula unit) = -214.764
- raw formation energy (kcal/mol of atoms) = 12.18

Structure (POSCAR):
```
GaSnBi2Cl
1.0
-3.182 -1.172 4.163
4.367 -2.713 2.574
1.542 4.911 2.561
Cl Bi Ga Sn
1 2 1 1
Cartesian
1.363 0.513 4.649
0.771 2.456 1.281
2.183 -1.357 1.287
-1.591 -0.586 2.081
0.000 0.000 0.000
```

=====

Entry 5:
Computed, not measured: a PBEsol-optimized structure of CaTcHg2Ru at the SCAN level of DFT.

Output
- density (g/cm3) = 8.8
- E (eV per formula unit) = -206.702

Structure (POSCAR):
```
CaTcHg2Ru
1.0
4.456 0.000 0.000
0.000 5.194 0.000
0.000 0.000 5.194
Ru Ca Hg Tc
1 1 2 1
Cartesian
2.228 0.000 0.000
0.000 0.000 0.000
0.000 0.000 2.597
0.000 2.597 0.000
2.228 2.597 2.597
```

=====

Entry 6:
Computed, not measured: a PBEsol-optimized structure of RbW3Se at the SCAN level of DFT.

Output
- density (g/cm3) = 11.5
- E (eV per formula unit) = -227.566
- raw formation energy (kcal/mol of atoms) = 102.92

Structure (POSCAR):
```
RbW3Se
1.0
-2.767 -3.783 0.114
2.937 -2.236 -2.892
2.388 -1.635 3.689
Se Rb W
1 1 3
Cartesian
1.279 -3.827 0.456
0.000 0.000 0.000
1.468 -1.118 -1.446
1.194 -0.818 1.845
-1.384 -1.892 0.057
```